A | ScTa: relaxed, PBE-GGA.

```
data_ScTa
_space_group_name_H-M_alt 'P 63/m m c'
_space_group_IT_number 194
_space_group_name_Hall '-P 6c 2c'
_cell_length_a 5.0408
_cell_length_b 5.0408
_cell_length_c 7.7003
_cell_angle_alpha 90.00
_cell_angle_beta 90.00
_cell_angle_gamma 120.00
loop_
_atom_site_label
_atom_site_type_symbol
_atom_site_fract_x
_atom_site_fract_y
_atom_site_fract_z
Sc1 Sc 0.0000 0.0000 0.2500
Sc2 Sc 0.3333 0.6667 0.2500
Ta1 Ta 0.3333 0.6667 0.5852
```

B | ScTa: relaxed, PBE-GGA.

```
data_ScTa
_space_group_name_H-M_alt 'C m m e'
_space_group_IT_number 67
_space_group_name_Hall '-C 2a 2'
_cell_length_a 3.5730
_cell_length_b 4.6977
_cell_length_c 9.8670
_cell_angle_alpha 90.00
_cell_angle_beta 90.00
_cell_angle_gamma 90.00
loop_
_atom_site_label
_atom_site_type_symbol
_atom_site_fract_x
_atom_site_fract_y
_atom_site_fract_z
Sc1 Sc 0.0000 0.2500 0.1462
Ta1 Ta 0.0000 0.2500 0.6119
```

C | ScTa: relaxed, PBE-GGA.

```
data_ScTa
_space_group_name_H-M_alt 'C 1 2/m 1'
_space_group_IT_number 12
_cell_length_a 11.0631
_cell_length_b 2.9603
_cell_length_c 5.5733
_cell_angle_alpha 90.00
_cell_angle_beta 117.21
_cell_angle_gamma 90.00
loop_
_space_group_symop_operation_xyz
'x,y,z'
'-x,-y,-z'
'-x,y,-z'
'x,-y,z'
'x+1/2,y+1/2,z'
'-x+1/2,-y+1/2,-z'
'-x+1/2,y+1/2,-z'
'x+1/2,-y+1/2,z'
loop_
_atom_site_label
_atom_site_type_symbol
_atom_site_fract_x
_atom_site_fract_y
_atom_site_fract_z
Sc1 Sc 0.1203 0.0000 0.4688
Ta1 Ta 0.1274 0.5000 0.9884
```

Stability verdict: B, ahead by 0.033 eV/atom

A | ScTa: relaxed, PBE-GGA.

```
data_ScTa
_space_group_name_H-M_alt 'I -4 3 m'
_space_group_IT_number 217
_space_group_name_Hall 'I -4 2 3'
_cell_length_a 8.6540
_cell_length_b 8.6540
_cell_length_c 8.6540
_cell_angle_alpha 90.00
_cell_angle_beta 90.00
_cell_angle_gamma 90.00
loop_
_atom_site_label
_atom_site_type_symbol
_atom_site_fract_x
_atom_site_fract_y
_atom_site_fract_z
Sc1 Sc 0.2059 0.2059 0.2059
Ta1 Ta 0.1071 0.1071 0.8929
```

B | ScTa: relaxed, PBE-GGA.

```
data_ScTa
_space_group_name_H-M_alt 'P 63/m m c'
_space_group_IT_number 194
_space_group_name_Hall '-P 6c 2c'
_cell_length_a 4.8027
_cell_length_b 4.8027
_cell_length_c 4.9942
_cell_angle_alpha 90.00
_cell_angle_beta 90.00
_cell_angle_gamma 120.00
loop_
_atom_site_label
_atom_site_type_symbol
_atom_site_fract_x
_atom_site_fract_y
_atom_site_fract_z
Sc1 Sc 0.3333 0.6667 0.2500
Ta1 Ta 0.0000 0.0000 0.0000
```

Stability verdict: B, ahead by 0.791 eV/atom

A | ScTa: relaxed, PBE-GGA.

```
data_ScTa
_space_group_name_H-M_alt 'P 21 3'
_space_group_IT_number 198
_space_group_name_Hall 'P 2ac 2ab 3'
_cell_length_a 5.4684
_cell_length_b 5.4684
_cell_length_c 5.4684
_cell_angle_alpha 90.00
_cell_angle_beta 90.00
_cell_angle_gamma 90.00
loop_
_atom_site_label
_atom_site_type_symbol
_atom_site_fract_x
_atom_site_fract_y
_atom_site_fract_z
Sc1 Sc 0.0995 0.4005 0.5995
Ta1 Ta 0.1027 0.8973 0.3973
```

B | ScTa: relaxed, PBE-GGA.

```
data_ScTa
_space_group_name_H-M_alt 'P -3 m 1'
_space_group_IT_number 164
_space_group_name_Hall '-P 3 2"'
_cell_length_a 3.0543
_cell_length_b 3.0543
_cell_length_c 10.2152
_cell_angle_alpha 90.00
_cell_angle_beta 90.00
_cell_angle_gamma 120.00
loop_
_atom_site_label
_atom_site_type_symbol
_atom_site_fract_x
_atom_site_fract_y
_atom_site_fract_z
Sc1 Sc 0.3333 0.6667 0.3615
Ta1 Ta 0.3333 0.6667 0.8792
```

C | ScTa: relaxed, PBE-GGA.

```
data_ScTa
_space_group_name_H-M_alt 'P -6 m 2'
_space_group_IT_number 187
_space_group_name_Hall 'P -6 2'
_cell_length_a 3.0566
_cell_length_b 3.0566
_cell_length_c 5.0322
_cell_angle_alpha 90.00
_cell_angle_beta 90.00
_cell_angle_gamma 120.00
loop_
_atom_site_label
_atom_site_type_symbol
_atom_site_fract_x
_atom_site_fract_y
_atom_site_fract_z
Sc1 Sc 0.0000 0.0000 0.0000
Ta1 Ta 0.3333 0.6667 0.5000
```

D | ScTa: relaxed, PBE-GGA.

```
data_ScTa
_space_group_name_H-M_alt 'P 1 21/m 1'
_space_group_IT_number 11
_cell_length_a 2.9875
_cell_length_b 4.7815
_cell_length_c 5.9253
_cell_angle_alpha 90.00
_cell_angle_beta 102.58
_cell_angle_gamma 90.00
loop_
_space_group_symop_operation_xyz
'x,y,z'
'-x,-y,-z'
'-x,y+1/2,-z'
'x,-y+1/2,z'
loop_
_atom_site_label
_atom_site_type_symbol
_atom_site_fract_x
_atom_site_fract_y
_atom_site_fract_z
Sc1 Sc 0.1828 0.2500 0.3506
Ta1 Ta 0.3919 0.2500 0.8815
```

Stability verdict: D, ahead by 0.049 eV/atom

A | ScTa: relaxed, PBE-GGA.

```
data_ScTa
_space_group_name_H-M_alt 'C m m m'
_space_group_IT_number 65
_space_group_name_Hall '-C 2 2'
_cell_length_a 3.7283
_cell_length_b 4.4441
_cell_length_c 4.8599
_cell_angle_alpha 90.00
_cell_angle_beta 90.00
_cell_angle_gamma 90.00
loop_
_atom_site_label
_atom_site_type_symbol
_atom_site_fract_x
_atom_site_fract_y
_atom_site_fract_z
Sc1 Sc 0.0000 0.0000 0.0000
Ta1 Ta 0.0000 0.5000 0.5000
```

B | ScTa: relaxed, PBE-GGA.

```
data_ScTa
_space_group_name_H-M_alt 'P 63/m m c'
_space_group_IT_number 194
_space_group_name_Hall '-P 6c 2c'
_cell_length_a 4.6397
_cell_length_b 4.6397
_cell_length_c 9.4626
_cell_angle_alpha 90.00
_cell_angle_beta 90.00
_cell_angle_gamma 120.00
loop_
_atom_site_label
_atom_site_type_symbol
_atom_site_fract_x
_atom_site_fract_y
_atom_site_fract_z
Sc1 Sc 0.3333 0.6667 0.0864
Ta1 Ta 0.0000 0.0000 0.2500
Ta2 Ta 0.3333 0.6667 0.7500
```

C | ScTa: relaxed, PBE-GGA.

```
data_ScTa
_space_group_name_H-M_alt 'P m m n'
_space_group_IT_number 59
_cell_length_a 2.8981
_cell_length_b 4.6430
_cell_length_c 6.0863
_cell_angle_alpha 90.00
_cell_angle_beta 90.00
_cell_angle_gamma 90.00
loop_
_space_group_symop_operation_xyz
'x,y,z'
'-x,-y,-z'
'-x+1/2,-y+1/2,z'
'x+1/2,y+1/2,-z'
'x+1/2,-y,-z'
'-x+1/2,y,z'
'-x,y+1/2,-z'
'x,-y+1/2,z'
loop_
_atom_site_label
_atom_site_type_symbol
_atom_site_fract_x
_atom_site_fract_y
_atom_site_fract_z
Sc1 Sc 0.2500 0.2500 0.1372
Ta1 Ta 0.2500 0.2500 0.6113
```

D | ScTa: relaxed, PBE-GGA.

```
data_ScTa
_space_group_name_H-M_alt 'P 63/m'
_space_group_IT_number 176
_space_group_name_Hall '-P 6c'
_cell_length_a 10.2589
_cell_length_b 10.2589
_cell_length_c 2.9116
_cell_angle_alpha 90.00
_cell_angle_beta 90.00
_cell_angle_gamma 120.00
loop_
_atom_site_label
_atom_site_type_symbol
_atom_site_fract_x
_atom_site_fract_y
_atom_site_fract_z
Sc1 Sc 0.0597 0.3058 0.2500
Ta1 Ta 0.1460 0.6148 0.2500
```

Stability verdict: A, ahead by 0.008 eV/atom

A | ScTa: relaxed, PBE-GGA.

```
data_ScTa
_space_group_name_H-M_alt 'P 42/m n m'
_space_group_IT_number 136
_space_group_name_Hall '-P 4n 2n'
_cell_length_a 5.5758
_cell_length_b 5.5758
_cell_length_c 5.6962
_cell_angle_alpha 90.00
_cell_angle_beta 90.00
_cell_angle_gamma 90.00
loop_
_atom_site_label
_atom_site_type_symbol
_atom_site_fract_x
_atom_site_fract_y
_atom_site_fract_z
Sc1 Sc 0.1809 0.1809 0.0000
Ta1 Ta 0.1678 0.1678 0.5000
```

B | ScTa: relaxed, PBE-GGA.

```
data_ScTa
_space_group_name_H-M_alt 'C 1 m 1'
_space_group_IT_number 8
_cell_length_a 11.6148
_cell_length_b 2.9731
_cell_length_c 7.2802
_cell_angle_alpha 90.00
_cell_angle_beta 102.63
_cell_angle_gamma 90.00
loop_
_space_group_symop_operation_xyz
'x,y,z'
'x,-y,z'
'x+1/2,y+1/2,z'
'x+1/2,-y+1/2,z'
loop_
_atom_site_label
_atom_site_type_symbol
_atom_site_fract_x
_atom_site_fract_y
_atom_site_fract_z
Sc1 Sc 0.0000 0.0000 0.0000
Sc2 Sc 0.0637 0.0000 0.6390
Sc3 Sc 0.1719 0.5000 0.3360
Ta1 Ta 0.2469 0.5000 0.9740
Ta2 Ta 0.3303 0.0000 0.6603
Ta3 Ta 0.3946 0.0000 0.3040
```

C | ScTa: relaxed, PBE-GGA.

```
data_ScTa
_space_group_name_H-M_alt 'P m m n'
_space_group_IT_number 59
_cell_length_a 3.0376
_cell_length_b 14.7995
_cell_length_c 5.4498
_cell_angle_alpha 90.00
_cell_angle_beta 90.00
_cell_angle_gamma 90.00
loop_
_space_group_symop_operation_xyz
'x,y,z'
'-x,-y,-z'
'-x+1/2,-y+1/2,z'
'x+1/2,y+1/2,-z'
'x+1/2,-y,-z'
'-x+1/2,y,z'
'-x,y+1/2,-z'
'x,-y+1/2,z'
loop_
_atom_site_label
_atom_site_type_symbol
_atom_site_fract_x
_atom_site_fract_y
_atom_site_fract_z
Sc1 Sc 0.2500 0.0853 0.0791
Sc2 Sc 0.2500 0.7500 0.7327
Ta1 Ta 0.2500 0.2500 0.7385
Ta2 Ta 0.2500 0.5813 0.4158
```

Stability verdict: B, ahead by 0.015 eV/atom

A | ScTa: relaxed, PBE-GGA.

```
data_ScTa
_space_group_name_H-M_alt 'P 4/m'
_space_group_IT_number 83
_cell_length_a 8.6038
_cell_length_b 8.6038
_cell_length_c 4.9007
_cell_angle_alpha 90.00
_cell_angle_beta 90.00
_cell_angle_gamma 90.00
loop_
_space_group_symop_operation_xyz
'x,y,z'
'-x,-y,-z'
'-y,x,z'
'y,-x,-z'
'-x,-y,z'
'x,y,-z'
'y,-x,z'
'-y,x,-z'
loop_
_atom_site_label
_atom_site_type_symbol
_atom_site_fract_x
_atom_site_fract_y
_atom_site_fract_z
Sc1 Sc 0.0689 0.3328 0.0000
Sc2 Sc 0.1162 0.7535 0.5000
Ta1 Ta 0.2531 0.4424 0.5000
Ta2 Ta 0.2983 0.6087 0.0000
```

B | ScTa: relaxed, PBE-GGA.

```
data_ScTa
_space_group_name_H-M_alt 'P 4/n m m'
_space_group_IT_number 129
_cell_length_a 2.9247
_cell_length_b 2.9247
_cell_length_c 9.7167
_cell_angle_alpha 90.00
_cell_angle_beta 90.00
_cell_angle_gamma 90.00
loop_
_space_group_symop_operation_xyz
'x,y,z'
'-x,-y,-z'
'-y+1/2,x,z'
'y+1/2,-x,-z'
'-x+1/2,-y+1/2,z'
'x+1/2,y+1/2,-z'
'y,-x+1/2,z'
'-y,x+1/2,-z'
'x+1/2,-y,-z'
'-x+1/2,y,z'
'-y,-x,-z'
'y,x,z'
'-x,y+1/2,-z'
'x,-y+1/2,z'
'y+1/2,x+1/2,-z'
'-y+1/2,-x+1/2,z'
loop_
_atom_site_label
_atom_site_type_symbol
_atom_site_fract_x
_atom_site_fract_y
_atom_site_fract_z
Sc1 Sc 0.2500 0.2500 0.1487
Ta1 Ta 0.2500 0.2500 0.6181
```

Stability verdict: B, ahead by 0.206 eV/atom